# Mn2CoSb | the Alexandria database | PBE-GGA | relaxed
# **Density of states at the Fermi level**: 1.411 states/eV/atom
# **V**: 14.55 A^3/atom
# **Spin magnetization**: 0.3 μB per cell
# **VASP energy**: -6.820 eV/atom
data_Mn2CoSb
_cell_length_a 3.6225
_cell_length_b 3.6225
_cell_length_c 17.7391
_cell_angle_alpha 90.00
_cell_angle_beta 90.00
_cell_angle_gamma 90.00
_symmetry_space_group_name_H-M 'I -4 2 d'
_symmetry_Int_Tables_number 122
_symmetry_space_group_name_Hall 'I -4 2bw'
loop_
_atom_site_label
_atom_site_type_symbol
_atom_site_fract_x
_atom_site_fract_y
_atom_site_fract_z
Mn1 Mn 0.1640 0.2500 0.1250
Co1 Co 0.0000 0.0000 0.0000
Sb1 Sb 0.0000 0.0000 0.5000

---

# LaCe2Ru2 | the Alexandria database | PBE-GGA | relaxed
# **Density of states at the Fermi level**: 1.565 states/eV/atom
# **V**: 26.03 A^3/atom
# **Spin magnetization**: 0.0 μB per cell
# **Formation enthalpy at 0 K**: -0.069 eV/atom
data_LaCe2Ru2
_cell_length_a 6.5827
_cell_length_b 6.5827
_cell_length_c 12.0155
_cell_angle_alpha 90.00
_cell_angle_beta 90.00
_cell_angle_gamma 90.00
_symmetry_space_group_name_H-M 'I 41 m d'
_symmetry_Int_Tables_number 109
_symmetry_space_group_name_Hall 'I 4bw -2'
loop_
_atom_site_label
_atom_site_type_symbol
_atom_site_fract_x
_atom_site_fract_y
_atom_site_fract_z
La1 La 0.0000 0.0000 0.0000
Ce1 Ce 0.0000 0.2482 0.6898
Ru1 Ru 0.0000 0.2977 0.4713

---

# Pr2Dy7Er | the Alexandria database | PBE-GGA | relaxed
# **Density of states at the Fermi level**: 1.753 states/eV/atom
# **V**: 32.40 A^3/atom
# **Spin magnetization**: 0.0 μB per cell
# **Formation enthalpy at 0 K**: 0.063 eV/atom
data_Pr2Dy7Er
_cell_length_a 18.1959
_cell_length_b 5.4599
_cell_length_c 7.0493
_cell_angle_alpha 90.00
_cell_angle_beta 112.27
_cell_angle_gamma 90.00
_symmetry_space_group_name_H-M 'C 1 2/m 1'
_symmetry_Int_Tables_number 12
loop_
_symmetry_equiv_pos_as_xyz
'x,y,z'
'-x,-y,-z'
'-x,y,-z'
'x,-y,z'
'x+1/2,y+1/2,z'
'-x+1/2,-y+1/2,-z'
'-x+1/2,y+1/2,-z'
'x+1/2,-y+1/2,z'
loop_
_atom_site_label
_atom_site_type_symbol
_atom_site_fract_x
_atom_site_fract_y
_atom_site_fract_z
Pr1 Pr 0.1984 0.0000 0.1986
Dy1 Dy 0.0000 0.0000 0.0000
Dy2 Dy 0.1062 0.5000 0.3587
Dy3 Dy 0.1058 0.5000 0.8546
Dy4 Dy 0.1976 0.0000 0.6978
Er1 Er 0.0000 0.0000 0.5000

---

# CsLiGa2H8 | the Alexandria database | PBE-GGA | relaxed
# **Density of states at the Fermi level**: 0.000 states/eV/atom
# **V**: 15.01 A^3/atom
# **Spin magnetization**: 0.0 μB per cell
# **VASP energy**: -3.137 eV/atom
data_CsLiGa2H8
_cell_length_a 5.0794
_cell_length_b 5.0794
_cell_length_c 24.1880
_cell_angle_alpha 90.00
_cell_angle_beta 90.00
_cell_angle_gamma 120.00
_symmetry_space_group_name_H-M 'R -3'
_symmetry_Int_Tables_number 148
_symmetry_space_group_name_Hall '-R 3'
loop_
_atom_site_label
_atom_site_type_symbol
_atom_site_fract_x
_atom_site_fract_y
_atom_site_fract_z
Cs1 Cs 0.0000 0.0000 0.0000
Li1 Li 0.0000 0.0000 0.5000
Ga1 Ga 0.0000 0.0000 0.2340
H1 H 0.0000 0.0000 0.3008
H2 H 0.0124 0.6221 0.8821

---

> Which of these has the highest V?

Pr2Dy7Er

---

> The highest spin magnetization belongs to which entry?

Mn2CoSb